Density functional theory data (PBE) for a relaxed structure of KRb2MgHg6.

symmetry	P-1, No. 2
M_tot	0.00	μB/f.u.
energy of formation	-0.17	eV/atom
DFT total energy	-8.15	eV/cell

```
10
Lattice="6.890 0.000 0.000 1.029 7.688 0.000 3.352 3.455 6.783" Properties=species:S:1:pos:R:3 pbc="T T T"
K 0.000 0.000 0.000
Rb 2.147 3.570 2.409
Rb 9.124 7.573 4.373
Mg 5.635 5.571 3.391
Hg 5.652 7.751 5.642
Hg 4.180 6.182 0.662
Hg 5.584 8.326 2.448
Hg 5.687 2.817 4.335
Hg 7.090 4.960 6.121
Hg 5.619 3.392 1.141
```

=====

Density functional theory data (PBE) for a relaxed structure of Sc2Ni.

symmetry	P6_3/mmc, No. 194
M_tot	0.00	μB/f.u.
energy of formation	-0.22	eV/atom
DFT total energy	-38.23	eV/cell

```
6
Lattice="4.543 0.000 0.000 -2.271 3.934 0.000 0.000 0.000 6.230" Properties=species:S:1:pos:R:3 pbc="T T T"
Sc 0.000 0.000 0.000
Sc 0.000 0.000 3.115
Sc 0.000 2.623 1.557
Sc 2.271 1.311 4.672
Ni 0.000 2.623 4.672
Ni 2.271 1.311 1.557
```

=====

Density functional theory data (PBE) for a relaxed structure of TeRuN2O.

energy relative to the elements, uncorrected	9.968	eV/f.u.
symmetry	P4/mmm, No. 123
M_tot	0.00	μB/f.u.
DFT total energy	-24.06	eV/cell

```
5
Lattice="3.873 0.000 0.000 0.000 3.873 0.000 0.000 0.000 4.126" Properties=species:S:1:pos:R:3 pbc="T T T"
Te 0.000 0.000 0.000
Ru 1.937 1.937 0.000
N 0.000 1.937 2.063
N 1.937 0.000 2.063
O 0.000 0.000 2.063
```

=====

Density functional theory data (PBE) for a relaxed structure of Ti2Be2Al.

symmetry	P4/mbm, No. 127
M_tot	0.00	μB/f.u.
energy of formation	-0.28	eV/atom
DFT total energy	-56.73	eV/cell

```
10
Lattice="6.520 0.000 0.000 0.000 6.520 0.000 0.000 0.000 3.089" Properties=species:S:1:pos:R:3 pbc="T T T"
Ti 1.156 2.103 0.000
Ti 2.103 5.363 0.000
Ti 4.416 1.156 0.000
Ti 5.363 4.416 0.000
Be 0.751 4.011 1.544
Be 2.509 0.751 1.544
Be 4.011 5.768 1.544
Be 5.768 2.509 1.544
Al 0.000 0.000 1.544
Al 3.260 3.260 1.544
```

=====

Density functional theory data (PBE) for a relaxed structure of La2Pr8Sc3.

symmetry	C2/m, No. 12
M_tot	0.00	μB/f.u.
energy of formation	0.17	eV/atom
DFT total energy	-64.84	eV/cell

```
13
Lattice="6.744 -5.833 0.000 6.744 5.833 0.000 -2.355 0.000 5.588" Properties=species:S:1:pos:R:3 pbc="T T T"
La 1.690 0.000 1.895
La 9.442 0.000 3.692
Pr -0.725 0.000 4.328
Pr 3.850 2.750 1.960
Pr 2.821 0.000 4.971
Pr 7.283 2.750 3.628
Pr 3.850 -2.750 1.960
Pr 8.312 0.000 0.617
Pr 7.283 -2.750 3.628
Pr 11.857 0.000 1.260
Sc 6.744 3.031 0.000
Sc 5.566 0.000 2.794
Sc 6.744 -3.031 0.000
```

=====

Density functional theory data (PBE) for a relaxed structure of Ba3PaPb2O9.

energy relative to the elements, uncorrected	-34.950	eV/f.u.
symmetry	P-3m1, No. 164
M_tot	0.00	μB/f.u.
DFT total energy	-102.26	eV/cell

```
15
Lattice="6.269 0.000 0.000 -3.135 5.429 0.000 0.000 0.000 7.697" Properties=species:S:1:pos:R:3 pbc="T T T"
Ba 0.000 0.000 0.000
Ba 0.000 3.620 5.318
Ba 3.135 1.810 2.379
Pa 0.000 0.000 3.848
Pb 0.000 3.620 1.289
Pb 3.135 1.810 6.408
O -1.567 2.715 0.000
O 0.000 1.772 2.606
O -1.600 4.543 2.606
O 1.535 0.886 5.091
O 3.135 0.000 0.000
O 1.567 2.715 0.000
O 1.600 4.543 2.606
O 4.734 0.886 5.091
O 3.135 3.657 5.091
```